Density functional theory data (GGA-PBE) for an optimized crystal structure of Al2PRh.

Computed properties:
electronic total energy = -5.403 eV per atom
space-group type = Immm, No. 71
crystal system = orthorhombic

```
Al2PRh
1.0
-0.503 -3.090 -3.495
4.252 -0.976 -1.727
-1.953 -0.161 4.263
Al Rh P
2 1 1
Cartesian
3.718 -4.033 -5.179 Al
1.905 -2.067 -2.654 Al
2.087 -1.585 -0.037 Rh
-0.291 -2.642 -0.921 P
```

=====

Density functional theory data (GGA-PBE) for an optimized crystal structure of AlPRh.

Computed properties:
electronic total energy = -5.854 eV per atom
space-group type = I4mm, No. 107
crystal system = tetragonal

```
AlPRh
1.0
5.598 0.050 -0.054
4.840 2.813 -0.056
0.758 0.209 2.755
Al Rh P
1 1 1
Cartesian
0.818 0.226 2.737 Al
7.289 1.999 0.822 Rh
3.846 1.056 1.841 P
```

=====

Density functional theory data (GGA-PBE) for an optimized crystal structure of Al2PRh.

Computed properties:
electronic total energy = -5.427 eV per atom
space-group type = Pmmm, No. 47
crystal system = orthorhombic

```
Al2PRh
1.0
-0.651 2.676 -0.509
-1.885 -0.857 -2.096
-5.214 -0.349 4.833
Al P Rh
2 1 1
Cartesian
-5.103 -0.342 4.730 Al
-2.718 -0.182 2.519 Al
-2.572 0.822 -0.094 P
-5.179 0.648 2.323 Rh
```

=====

Density functional theory data (GGA-PBE) for an optimized crystal structure of Al2PRh.

Computed properties:
electronic total energy = -5.205 eV per atom
space-group type = F-43m, No. 216
crystal system = cubic

```
Al2PRh
1.0
-1.327 -1.940 3.683
2.144 -3.487 1.527
2.405 0.332 3.632
Rh Al P
1 2 1
Cartesian
0.806 -1.274 2.211 Rh
2.417 -3.821 6.632 Al
0.000 0.000 0.000 Al
1.611 -2.548 4.421 P
```

=====

no.,calculated volume (A^3/atom)
1,14.221
2,14.281
3,14.685
4,14.743